Record 1
Material: ZrTa2Tc
Method: DFT, PBE
State: optimized geometry

Cell: 3.295 4.585 4.775 Å, 90.00 90.00 90.00°
Element x y z (fractional)
Zr (0.000, 0.500, 0.500)
Ta (0.500, 0.500, 0.000)
Ta (0.000, 0.000, 0.000)
Tc (0.500, 0.000, 0.500)

Output
Final energy (eV per atom): -10.75
Density of states at the Fermi level (states/eV/f.u.): 5.6
SG: No. 47
Energy relative to the lowest polymorph listed for this composition (eV/f.u.): 0.449
Theoretical density (g/cm3): 12.7
DFT formation energy (meV/atom): -100

=====

Record 2
Material: PrDy5Tm3
Method: DFT, PBE
State: optimized geometry

Cell: 9.322 9.322 12.862 Å, 50.90 50.90 50.48°
Element x y z (fractional)
Dy (0.077, 0.492, 0.779)
Dy (0.322, 0.678, 0.000)
Dy (0.492, 0.077, 0.779)
Dy (0.557, 0.557, 0.567)
Dy (0.371, 0.371, 0.928)
Dy (0.508, 0.923, 0.221)
Dy (0.678, 0.322, 0.000)
Dy (0.923, 0.508, 0.221)
Dy (0.443, 0.443, 0.433)
Dy (0.629, 0.629, 0.072)
Tm (0.829, 0.829, 0.338)
Tm (0.171, 0.171, 0.662)
Tm (0.697, 0.697, 0.681)
Tm (0.000, 0.000, 0.500)
Tm (0.000, 0.000, 0.000)
Tm (0.303, 0.303, 0.319)
Pr (0.103, 0.103, 0.134)
Pr (0.897, 0.897, 0.866)

Output
Final energy (eV per atom): -4.15
Density of states at the Fermi level (states/eV/f.u.): 13.7
SG: No. 12
Energy relative to the lowest polymorph listed for this composition (eV/f.u.): 0.795
Theoretical density (g/cm3): 7.8
DFT formation energy (meV/atom): 429

=====

Record 3
Material: Cs12K7Pd
Method: DFT, PBE
State: optimized geometry

Cell: 12.601 13.561 13.561 Å, 69.14 71.96 108.04°
Element x y z (fractional)
Cs (0.760, 0.371, 0.572)
Cs (0.829, 0.852, 0.897)
Cs (0.240, 0.629, 0.428)
Cs (0.171, 0.148, 0.103)
Cs (0.977, 0.252, 0.852)
Cs (0.332, 0.572, 0.057)
Cs (0.612, 0.943, 0.629)
Cs (0.023, 0.748, 0.148)
Cs (0.726, 0.897, 0.252)
Cs (0.388, 0.057, 0.371)
Cs (0.668, 0.428, 0.943)
Cs (0.274, 0.103, 0.748)
K (0.136, 0.672, 0.790)
K (0.926, 0.790, 0.538)
K (0.500, 0.000, 0.000)
K (0.465, 0.538, 0.672)
K (0.535, 0.462, 0.328)
K (0.074, 0.210, 0.462)
K (0.864, 0.328, 0.210)
Pd (0.000, 0.000, 0.000)

Output
Final energy (eV per atom): -1.14
Density of states at the Fermi level (states/eV/f.u.): 19.2
SG: No. 148
Theoretical density (g/cm3): 1.8
DFT formation energy (meV/atom): 12

=====

Record 4
Material: NbInSi3
Method: DFT, PBE
State: optimized geometry

Cell: 4.934 4.934 4.934 Å, 90.00 90.00 90.00°
Element x y z (fractional)
Si (0.000, 0.500, 0.000)
Si (0.000, 0.000, 0.500)
Si (0.500, 0.000, 0.000)
In (0.500, 0.500, 0.500)
Nb (0.000, 0.000, 0.000)

Output
E_form (uncorrected) (eV/atom): 0.502
Final energy (eV per atom): -5.31
Density of states at the Fermi level (states/eV/f.u.): 2.7
SG: No. 221
Energy relative to the lowest polymorph listed for this composition (eV/f.u.): 0.000
Theoretical density (g/cm3): 4.0

=====

Record 5
Material: NaTb3Se4
Method: DFT, PBE
State: optimized geometry

Cell: 4.089 7.147 7.147 Å, 109.04 90.00 90.00°
Element x y z (fractional)
Tb (0.500, 0.500, 0.500)
Tb (0.000, 0.000, 0.500)
Tb (0.000, 0.500, 0.000)
Se (0.000, 0.747, 0.747)
Se (0.500, 0.250, 0.750)
Se (0.000, 0.253, 0.253)
Se (0.500, 0.750, 0.250)
Na (0.500, 0.000, 0.000)

Output
E_form (uncorrected) (eV/atom): -1.744
Final energy (eV per atom): -5.39
Density of states at the Fermi level (states/eV/f.u.): 2.7
SG: No. 65
Energy relative to the lowest polymorph listed for this composition (eV/f.u.): 0.044
Theoretical density (g/cm3): 6.9

=====

Record 6
Material: Tm2Tl2SnS6
Method: DFT, PBE
State: optimized geometry

Cell: 6.743 6.743 7.986 Å, 98.41 98.41 119.87°
Element x y z (fractional)
Sn (0.000, 0.000, 0.500)
S (0.932, 0.611, 0.308)
S (0.251, 0.251, 0.309)
S (0.068, 0.389, 0.692)
S (0.389, 0.068, 0.692)
S (0.749, 0.749, 0.691)
S (0.611, 0.932, 0.308)
Tl (0.829, 0.171, 0.000)
Tl (0.171, 0.829, 0.000)
Tm (0.668, 0.332, 0.500)
Tm (0.332, 0.668, 0.500)

Output
E_form (uncorrected) (eV/atom): -1.165
Final energy (eV per atom): -5.02
SG: No. 12
Theoretical density (g/cm3): 5.8

=====

Record 7
Material: LuScGa2
Method: DFT, PBE
State: optimized geometry

Cell: 3.441 3.441 6.827 Å, 90.00 90.00 90.00°
Element x y z (fractional)
Lu (0.500, 0.500, 0.500)
Ga (0.000, 0.000, 0.763)
Ga (0.000, 0.000, 0.237)
Sc (0.500, 0.500, 0.000)

Output
Final energy (eV per atom): -4.80
Density of states at the Fermi level (states/eV/f.u.): 2.0
SG: No. 123
Energy relative to the lowest polymorph listed for this composition (eV/f.u.): 0.000
Theoretical density (g/cm3): 7.4
DFT formation energy (meV/atom): -568

=====

Record 8
Material: InNiSn2Sb
Method: DFT, PBE
State: optimized geometry

Cell: 5.025 5.025 5.018 Å, 90.00 90.00 90.00°
Element x y z (fractional)
Sb (0.500, 0.500, 0.500)
Ni (0.000, 0.000, 0.000)
Sn (0.500, 0.000, 0.000)
Sn (0.000, 0.500, 0.000)
In (0.000, 0.000, 0.500)

Output
E_form (uncorrected) (eV/atom): 0.022
Final energy (eV per atom): -4.11
Density of states at the Fermi level (states/eV/f.u.): 1.5
SG: No. 123
Theoretical density (g/cm3): 7.0